1.
VASP calculation (PBE-GGA) on an optimized crystal structure of SrTa2Al.

Cell lengths 2.950, 2.950, 9.705 Å; angles 90.00, 90.00, 90.00 degrees
Atoms (fractional coordinates):
Sr 0.000 0.000 0.000
Ta 0.500 0.500 0.304
Ta 0.500 0.500 0.696
Al 0.000 0.000 0.500

Values from the calculation:
ρ ... 9.37 g cm⁻³
Calculated formation energy ... 0.444 eV per atom
SG ... P4/mmm (123)
DOS at the Fermi energy ... 0.841 states/eV/atom
Electronic total energy ... -27.353 eV per cell


2.
VASP calculation (PBE-GGA) on an optimized crystal structure of SrTaAl.

Cell lengths 4.899, 4.899, 4.899 Å; angles 60.00, 60.00, 60.00 degrees
Atoms (fractional coordinates):
Sr 0.000 0.000 0.000
Ta 0.500 0.500 0.500
Al 0.750 0.750 0.750

Values from the calculation:
ρ ... 5.90 g cm⁻³
Calculated formation energy ... 1.028 eV per atom
SG ... F-43m (216)
DOS at the Fermi energy ... 1.419 states/eV/atom
Electronic total energy ... -14.192 eV per cell
Energy relative to the lowest polymorph listed for this composition ... 665 meV/atom


3.
VASP calculation (PBE-GGA) on an optimized crystal structure of SrTa3Al.

Cell lengths 4.863, 4.863, 4.863 Å; angles 90.00, 90.00, 90.00 degrees
Atoms (fractional coordinates):
Sr 0.000 0.000 0.000
Ta 0.000 0.000 0.500
Ta 0.000 0.500 0.000
Ta 0.500 0.000 0.000
Al 0.500 0.500 0.500

Values from the calculation:
ρ ... 9.49 g cm⁻³
Calculated formation energy ... 2.828 eV per atom
SG ... Pm-3m (221)
DOS at the Fermi energy ... 0.988 states/eV/atom
Electronic total energy ... -26.840 eV per cell
Energy relative to the lowest polymorph listed for this composition ... 1505 meV/atom


4.
VASP calculation (PBE-GGA) on an optimized crystal structure of SrTa2Al.

Cell lengths 4.915, 4.915, 6.710 Å; angles 95.10, 95.10, 35.55 degrees
Atoms (fractional coordinates):
Sr 0.000 0.000 0.000
Ta 0.510 0.510 0.501
Ta 0.775 0.775 0.335
Al 0.246 0.246 0.683

Values from the calculation:
ρ ... 8.43 g cm⁻³
Calculated formation energy ... 0.449 eV per atom
SG ... Cm (8)
DOS at the Fermi energy ... 0.858 states/eV/atom
Electronic total energy ... -27.335 eV per cell


5.
VASP calculation (PBE-GGA) on an optimized crystal structure of SrTa2Al.

Cell lengths 3.036, 5.270, 5.309 Å; angles 90.00, 90.00, 90.00 degrees
Atoms (fractional coordinates):
Sr 0.000 0.000 0.000
Ta 0.000 0.500 0.500
Ta 0.500 0.500 0.000
Al 0.500 0.000 0.500

Values from the calculation:
ρ ... 9.32 g cm⁻³
Calculated formation energy ... 0.711 eV per atom
SG ... Pmmm (47)
DOS at the Fermi energy ... 0.850 states/eV/atom
Electronic total energy ... -26.284 eV per cell


6.
VASP calculation (PBE-GGA) on an optimized crystal structure of SrTa2Al.

Cell lengths 3.049, 3.837, 7.827 Å; angles 90.00, 90.00, 90.00 degrees
Atoms (fractional coordinates):
Sr 0.000 0.000 0.000
Ta 0.000 0.000 0.515
Ta 0.500 0.500 0.330
Al 0.500 0.500 0.701

Values from the calculation:
ρ ... 8.64 g cm⁻³
Calculated formation energy ... 0.276 eV per atom
SG ... Pmm2 (25)
DOS at the Fermi energy ... 0.791 states/eV/atom
Electronic total energy ... -28.027 eV per cell


7.
VASP calculation (PBE-GGA) on an optimized crystal structure of SrTa2Al.

Cell lengths 2.947, 2.947, 9.864 Å; angles 90.00, 90.00, 90.00 degrees
Atoms (fractional coordinates):
Sr 0.000 0.000 0.000
Ta 0.000 0.000 0.528
Ta 0.500 0.500 0.304
Al 0.500 0.500 0.732

Values from the calculation:
ρ ... 9.23 g cm⁻³
Calculated formation energy ... 0.357 eV per atom
SG ... P4mm (99)
DOS at the Fermi energy ... 0.902 states/eV/atom
Electronic total energy ... -27.701 eV per cell


8.
VASP calculation (PBE-GGA) on an optimized crystal structure of SrTa2Al.

Cell lengths 5.801, 5.801, 2.866 Å; angles 90.00, 90.00, 117.84 degrees
Atoms (fractional coordinates):
Sr 0.000 0.000 0.000
Ta 0.000 0.500 0.500
Ta 0.500 0.000 0.500
Al 0.500 0.500 0.000

Values from the calculation:
ρ ... 9.28 g cm⁻³
Calculated formation energy ... 0.799 eV per atom
SG ... Cmmm (65)
DOS at the Fermi energy ... 0.897 states/eV/atom
Electronic total energy ... -25.933 eV per cell


9.
VASP calculation (PBE-GGA) on an optimized crystal structure of SrTa2Al.

Cell lengths 6.215, 6.215, 6.215 Å; angles 151.30, 127.26, 61.15 degrees
Atoms (fractional coordinates):
Sr 0.000 0.000 0.000
Ta 0.286 0.786 0.500
Ta 0.494 0.494 0.000
Al 0.720 0.220 0.500

Values from the calculation:
ρ ... 8.70 g cm⁻³
Calculated formation energy ... 0.678 eV per atom
SG ... Imm2 (44)
DOS at the Fermi energy ... 0.660 states/eV/atom
Electronic total energy ... -26.419 eV per cell


10.
VASP calculation (PBE-GGA) on an optimized crystal structure of SrTa2Al.

Cell lengths 5.738, 5.738, 5.549 Å; angles 102.79, 102.79, 29.74 degrees
Atoms (fractional coordinates):
Sr 0.000 0.000 0.000
Ta 0.220 0.220 0.694
Ta 0.780 0.780 0.306
Al 0.500 0.500 0.500

Values from the calculation:
ρ ... 8.97 g cm⁻³
Calculated formation energy ... 0.492 eV per atom
SG ... C2/m (12)
DOS at the Fermi energy ... 1.147 states/eV/atom
Electronic total energy ... -27.161 eV per cell


11.
VASP calculation (PBE-GGA) on an optimized crystal structure of SrTa2Al.

Cell lengths 10.515, 10.515, 10.515 Å; angles 152.96, 152.96, 38.62 degrees
Atoms (fractional coordinates):
Sr 0.375 0.625 0.750
Sr 0.625 0.375 0.250
Ta 0.000 0.000 0.000
Ta 0.000 0.000 0.500
Ta 0.000 0.500 0.000
Ta 0.500 0.000 0.500
Al 0.125 0.875 0.250
Al 0.875 0.125 0.750

Values from the calculation:
ρ ... 6.60 g cm⁻³
Calculated formation energy ... 0.992 eV per atom
SG ... I4_1/amd (141)
DOS at the Fermi energy ... 1.461 states/eV/atom
Electronic total energy ... -50.322 eV per cell


12.
VASP calculation (PBE-GGA) on an optimized crystal structure of SrTa2Al.

Cell lengths 3.030, 4.049, 7.419 Å; angles 90.00, 90.00, 90.00 degrees
Atoms (fractional coordinates):
Sr 0.000 0.000 0.000
Ta 0.500 0.500 0.326
Ta 0.500 0.500 0.674
Al 0.000 0.000 0.500

Values from the calculation:
ρ ... 8.69 g cm⁻³
Calculated formation energy ... 0.501 eV per atom
SG ... Pmmm (47)
DOS at the Fermi energy ... 1.017 states/eV/atom
Electronic total energy ... -27.126 eV per cell


13.
VASP calculation (PBE-GGA) on an optimized crystal structure of SrTaAl4.

Cell lengths 5.451, 5.451, 5.451 Å; angles 60.00, 60.00, 60.00 degrees
Atoms (fractional coordinates):
Sr 0.000 0.000 0.000
Ta 0.750 0.750 0.750
Al 0.376 0.376 0.376
Al 0.376 0.376 0.873
Al 0.376 0.873 0.376
Al 0.873 0.376 0.376

Values from the calculation:
ρ ... 5.46 g cm⁻³
Calculated formation energy ... 0.001 eV per atom
SG ... F-43m (216)
DOS at the Fermi energy ... 0.438 states/eV/atom
Electronic total energy ... -28.501 eV per cell


14.
VASP calculation (PBE-GGA) on an optimized crystal structure of SrTaAl.

Cell lengths 6.440, 6.440, 6.440 Å; angles 152.54, 143.18, 46.54 degrees
Atoms (fractional coordinates):
Sr 0.000 0.000 0.000
Ta 0.708 0.708 0.000
Al 0.299 0.299 0.000

Values from the calculation:
ρ ... 6.67 g cm⁻³
Calculated formation energy ... 0.422 eV per atom
SG ... Imm2 (44)
DOS at the Fermi energy ... 0.875 states/eV/atom
Electronic total energy ... -16.012 eV per cell
Energy relative to the lowest polymorph listed for this composition ... 58 meV/atom


15.
VASP calculation (PBE-GGA) on an optimized crystal structure of SrTa2Al.

Cell lengths 3.062, 4.897, 6.349 Å; angles 90.00, 97.83, 90.00 degrees
Atoms (fractional coordinates):
Sr 0.000 0.000 0.000
Ta 0.291 0.500 0.672
Ta 0.709 0.500 0.328
Al 0.500 0.000 0.500

Values from the calculation:
ρ ... 8.39 g cm⁻³
Calculated formation energy ... 0.591 eV per atom
SG ... P2/m (10)
DOS at the Fermi energy ... 1.170 states/eV/atom
Electronic total energy ... -26.766 eV per cell


16.
VASP calculation (PBE-GGA) on an optimized crystal structure of SrTa2Al.

Cell lengths 4.315, 4.315, 4.614 Å; angles 90.00, 90.00, 90.00 degrees
Atoms (fractional coordinates):
Sr 0.000 0.000 0.000
Ta 0.000 0.500 0.500
Ta 0.500 0.000 0.500
Al 0.500 0.500 0.000

Values from the calculation:
ρ ... 9.21 g cm⁻³
Calculated formation energy ... 0.787 eV per atom
SG ... P4/mmm (123)
DOS at the Fermi energy ... 1.346 states/eV/atom
Electronic total energy ... -25.983 eV per cell


17.
VASP calculation (PBE-GGA) on an optimized crystal structure of SrTa3Al.

Cell lengths 4.942, 4.942, 4.942 Å; angles 90.00, 90.00, 90.00 degrees
Atoms (fractional coordinates):
Sr 0.000 0.000 0.000
Ta 0.000 0.500 0.500
Ta 0.500 0.000 0.500
Ta 0.500 0.500 0.000
Al 0.500 0.500 0.500

Values from the calculation:
ρ ... 9.05 g cm⁻³
Calculated formation energy ... 1.324 eV per atom
SG ... Pm-3m (221)
DOS at the Fermi energy ... 0.997 states/eV/atom
Electronic total energy ... -34.363 eV per cell
Energy relative to the lowest polymorph listed for this composition ... 0 meV/atom


18.
VASP calculation (PBE-GGA) on an optimized crystal structure of SrTa2Al.

Cell lengths 10.861, 10.861, 10.861 Å; angles 15.93, 15.93, 15.93 degrees
Atoms (fractional coordinates):
Sr 0.000 0.000 0.000
Ta 0.239 0.239 0.239
Ta 0.761 0.761 0.761
Al 0.500 0.500 0.500

Values from the calculation:
ρ ... 9.40 g cm⁻³
Calculated formation energy ... 0.628 eV per atom
SG ... R-3m (166)
DOS at the Fermi energy ... 1.247 states/eV/atom
Electronic total energy ... -26.618 eV per cell


19.
VASP calculation (PBE-GGA) on an optimized crystal structure of SrTaAl.

Cell lengths 7.764, 7.764, 7.764 Å; angles 157.62, 157.62, 31.86 degrees
Atoms (fractional coordinates):
Sr 0.000 0.000 0.000
Ta 0.304 0.304 0.000
Al 0.675 0.675 0.000

Values from the calculation:
ρ ... 7.24 g cm⁻³
Calculated formation energy ... 0.364 eV per atom
SG ... I4mm (107)
DOS at the Fermi energy ... 0.810 states/eV/atom
Electronic total energy ... -16.185 eV per cell
Energy relative to the lowest polymorph listed for this composition ... 0 meV/atom


20.
VASP calculation (PBE-GGA) on an optimized crystal structure of SrTa2Al.

Cell lengths 5.547, 5.547, 5.547 Å; angles 134.56, 134.56, 66.21 degrees
Atoms (fractional coordinates):
Sr 0.000 0.000 0.000
Ta 0.250 0.750 0.500
Ta 0.750 0.250 0.500
Al 0.500 0.500 0.000

Values from the calculation:
ρ ... 9.28 g cm⁻³
Calculated formation energy ... 0.767 eV per atom
SG ... I4/mmm (139)
DOS at the Fermi energy ... 1.018 states/eV/atom
Electronic total energy ... -26.063 eV per cell


21.
VASP calculation (PBE-GGA) on an optimized crystal structure of SrTaTi2Al.

Cell lengths 4.851, 4.851, 5.425 Å; angles 90.00, 90.00, 90.00 degrees
Atoms (fractional coordinates):
Sr 0.000 0.000 0.000
Ta 0.500 0.500 0.000
Ti 0.000 0.500 0.500
Ti 0.500 0.000 0.500
Al 0.000 0.000 0.500

Values from the calculation:
ρ ... 5.09 g cm⁻³
Calculated formation energy ... 1.432 eV per atom
SG ... P4/mmm (123)
DOS at the Fermi energy ... 2.005 states/eV/atom
Electronic total energy ... -25.909 eV per cell


22.
VASP calculation (PBE-GGA) on an optimized crystal structure of SrTaAlV2.

Cell lengths 4.750, 4.750, 5.835 Å; angles 90.00, 90.00, 90.00 degrees
Atoms (fractional coordinates):
Sr 0.000 0.000 0.000
Ta 0.000 0.000 0.500
Al 0.500 0.500 0.000
V 0.000 0.500 0.500
V 0.500 0.000 0.500

Values from the calculation:
ρ ... 5.01 g cm⁻³
Calculated formation energy ... 1.461 eV per atom
SG ... P4/mmm (123)
DOS at the Fermi energy ... 1.382 states/eV/atom
Electronic total energy ... -28.211 eV per cell


23.
VASP calculation (PBE-GGA) on an optimized crystal structure of SrTb3Al8.

Cell lengths 9.789, 9.789, 9.789 Å; angles 33.43, 33.43, 33.43 degrees
Atoms (fractional coordinates):
Sr 0.000 0.000 0.000
Tb 0.375 0.375 0.375
Tb 0.500 0.500 0.500
Tb 0.875 0.875 0.875
Al 0.188 0.188 0.188
Al 0.436 0.436 0.934
Al 0.436 0.934 0.436
Al 0.442 0.938 0.938
Al 0.688 0.688 0.688
Al 0.934 0.436 0.436
Al 0.938 0.442 0.938
Al 0.938 0.938 0.442

Values from the calculation:
ρ ... 5.11 g cm⁻³
Calculated formation energy ... -0.431 eV per atom
SG ... R3m (160)
DOS at the Fermi energy ... 0.685 states/eV/atom
Electronic total energy ... -50.686 eV per cell
Energy relative to the lowest polymorph listed for this composition ... 0 meV/atom


24.
VASP calculation (PBE-GGA) on an optimized crystal structure of SrTb3Al8.

Cell lengths 5.643, 5.643, 9.209 Å; angles 90.00, 90.00, 120.00 degrees
Atoms (fractional coordinates):
Sr 0.000 0.000 0.000
Tb 0.000 0.000 0.366
Tb 0.667 0.333 0.502
Tb 0.667 0.333 0.866
Al 0.162 0.325 0.677
Al 0.162 0.838 0.677
Al 0.333 0.667 0.434
Al 0.333 0.667 0.933
Al 0.505 0.010 0.190
Al 0.505 0.495 0.190
Al 0.675 0.838 0.677
Al 0.990 0.495 0.190

Values from the calculation:
ρ ... 5.10 g cm⁻³
Calculated formation energy ... -0.422 eV per atom
SG ... P3m1 (156)
DOS at the Fermi energy ... 0.488 states/eV/atom
Electronic total energy ... -50.583 eV per cell
Energy relative to the lowest polymorph listed for this composition ... 9 meV/atom


25.
VASP calculation (PBE-GGA) on an optimized crystal structure of SrTbAl.

Cell lengths 5.007, 5.007, 8.088 Å; angles 90.00, 90.00, 90.00 degrees
Atoms (fractional coordinates):
Sr 0.250 0.250 0.142
Sr 0.750 0.750 0.858
Tb 0.250 0.750 0.500
Tb 0.750 0.250 0.500
Al 0.250 0.250 0.724
Al 0.750 0.750 0.276

Values from the calculation:
ρ ... 4.48 g cm⁻³
Calculated formation energy ... -0.137 eV per atom
SG ... P4/nmm (129)
DOS at the Fermi energy ... 0.788 states/eV/atom
Electronic total energy ... -20.934 eV per cell
Energy relative to the lowest polymorph listed for this composition ... 0 meV/atom


26.
VASP calculation (PBE-GGA) on an optimized crystal structure of SrTbAl.

Cell lengths 7.309, 7.309, 7.309 Å; angles 150.18, 150.18, 42.67 degrees
Atoms (fractional coordinates):
Sr 0.000 0.000 0.000
Tb 0.274 0.274 0.000
Al 0.661 0.661 0.000

Values from the calculation:
ρ ... 4.72 g cm⁻³
Calculated formation energy ... -0.102 eV per atom
SG ... I4mm (107)
DOS at the Fermi energy ... 0.822 states/eV/atom
Electronic total energy ... -10.360 eV per cell
Energy relative to the lowest polymorph listed for this composition ... 36 meV/atom


27.
VASP calculation (PBE-GGA) on an optimized crystal structure of Sr3TbAl8.

Cell lengths 10.035, 10.035, 10.035 Å; angles 33.40, 33.40, 33.40 degrees
Atoms (fractional coordinates):
Sr 0.000 0.000 0.000
Sr 0.125 0.125 0.125
Sr 0.625 0.625 0.625
Tb 0.500 0.500 0.500
Al 0.061 0.061 0.559
Al 0.061 0.559 0.061
Al 0.068 0.563 0.563
Al 0.313 0.313 0.313
Al 0.559 0.061 0.061
Al 0.563 0.068 0.563
Al 0.563 0.563 0.068
Al 0.813 0.813 0.813

Values from the calculation:
ρ ... 3.88 g cm⁻³
Calculated formation energy ... -0.303 eV per atom
SG ... R3m (160)
DOS at the Fermi energy ... 0.488 states/eV/atom
Electronic total energy ... -43.254 eV per cell


28.
VASP calculation (PBE-GGA) on an optimized crystal structure of Sr2TbAlTe5.

Cell lengths 10.305, 10.305, 13.860 Å; angles 90.00, 90.00, 155.38 degrees
Atoms (fractional coordinates):
Sr 0.120 0.880 0.500
Sr 0.122 0.878 0.142
Sr 0.878 0.122 0.642
Sr 0.880 0.120 0.000
Tb 0.205 0.795 0.844
Tb 0.795 0.205 0.344
Al 0.437 0.563 0.248
Al 0.563 0.437 0.748
Te 0.045 0.955 0.859
Te 0.294 0.706 0.496
Te 0.312 0.688 0.183
Te 0.355 0.645 0.823
Te 0.500 0.500 0.085
Te 0.500 0.500 0.585
Te 0.645 0.355 0.323
Te 0.688 0.312 0.683
Te 0.706 0.294 0.996
Te 0.955 0.045 0.359

Values from the calculation:
ρ ... 5.41 g cm⁻³
Formation energy (no corrections) ... -1.29 eV per atom
SG ... Cmc2_1 (36)
Electronic total energy ... -78.088 eV per cell